1.
VASP calculation (GGA-PBEsol) on a geometry-optimized K2LiSe structure.

Structure (CIF):
```
data_K2LiSe
_chemical_formula_sum 'K6 Li3 Se3'
_space_group_name_H-M_alt 'R 3 m'
_space_group_IT_number 160
_space_group_name_Hall 'R 3 -2"'
_cell_length_a 4.3706
_cell_length_b 4.3706
_cell_length_c 26.0315
_cell_angle_alpha 90.00
_cell_angle_beta 90.00
_cell_angle_gamma 120.00
loop_
_atom_site_label
_atom_site_fract_x
_atom_site_fract_y
_atom_site_fract_z
K1 0.0000 0.0000 0.0000
K2 0.0000 0.0000 0.1792
Li1 0.0000 0.0000 0.4231
Se1 0.0000 0.0000 0.7565
```

Values from the calculation:
Electronic total energy = -34.306 eV per cell



2.
VASP calculation (GGA-PBEsol) on a geometry-optimized H3RuAu structure.

Structure (CIF):
```
data_H3RuAu
_chemical_formula_sum 'H3 Ru1 Au1'
_space_group_name_H-M_alt 'P m -3 m'
_space_group_IT_number 221
_space_group_name_Hall '-P 4 2 3'
_cell_length_a 3.437
_cell_length_b 3.437
_cell_length_c 3.437
_cell_angle_alpha 90.00
_cell_angle_beta 90.00
_cell_angle_gamma 90.00
loop_
_atom_site_label
_atom_site_fract_x
_atom_site_fract_y
_atom_site_fract_z
H1 0.000 0.000 0.500
Ru1 0.000 0.000 0.000
Au1 0.500 0.500 0.500
```

Values from the calculation:
Electronic total energy = -22.171 eV per cell



3.
VASP calculation (GGA-PBEsol) on a geometry-optimized KTe2Rh structure.

Structure (CIF):
```
data_KTe2Rh
_chemical_formula_sum 'K1 Te2 Rh1'
_space_group_name_H-M_alt 'P m m m'
_space_group_IT_number 47
_space_group_name_Hall '-P 2 2'
_cell_length_a 3.108
_cell_length_b 5.267
_cell_length_c 5.985
_cell_angle_alpha 90.00
_cell_angle_beta 90.00
_cell_angle_gamma 90.00
loop_
_atom_site_label
_atom_site_fract_x
_atom_site_fract_y
_atom_site_fract_z
K1 0.000 0.000 0.000
Te1 0.000 0.000 0.500
Te2 0.500 0.500 0.000
Rh1 0.500 0.500 0.500
```

Values from the calculation:
Electronic total energy = -15.679 eV per cell